# 1
A relaxed structure of Mg3Ga2Ag4, computed with PBE-GGA.

a = 5.565 Å, b = 5.565 Å, c = 8.545 Å
α = 119.69°, β = 119.69°, γ = 48.77°
Atoms (fractional coordinates):
Mg 0.000 0.000 0.000
Mg 0.336 0.336 0.329
Mg 0.664 0.664 0.671
Ga 0.388 0.388 0.718
Ga 0.612 0.612 0.282
Ag 0.057 0.057 0.384
Ag 0.284 0.284 0.939
Ag 0.716 0.716 0.061
Ag 0.943 0.943 0.616

Properties
The theoretical density is 6.40 g/cm³. The value obtained for the magnetic moment is 0.00 μB/cell. The value obtained for the energy above the most stable polymorph in this dataset is 0.06 eV/f.u. For the uncorrected energy, the calculation gives -2.625 eV/atom. The value obtained for the density of states at the Fermi level is 1.8 states/eV/cell. The calculation puts the calculated volume at 167.0 Å³ per cell. The crystal system is monoclinic.

# 2
A relaxed structure of NaCeIO6, computed with PBE-GGA.

a = 5.050 Å, b = 5.050 Å, c = 10.005 Å
α = 90.00°, β = 90.00°, γ = 90.00°
Atoms (fractional coordinates):
Na 0.000 0.000 0.000
Na 0.500 0.500 0.500
Ce 0.000 0.000 0.672
Ce 0.500 0.500 0.172
I 0.000 0.000 0.332
I 0.500 0.500 0.832
O 0.175 0.175 0.475
O 0.187 0.187 0.196
O 0.233 0.233 0.824
O 0.267 0.733 0.324
O 0.313 0.687 0.696
O 0.325 0.675 0.975
O 0.675 0.325 0.975
O 0.687 0.313 0.696
O 0.733 0.267 0.324
O 0.767 0.767 0.824
O 0.813 0.813 0.196
O 0.825 0.825 0.475

Properties
The theoretical density is 5.02 g/cm³. The value obtained for the magnetic moment is 0.00 μB/cell. For the uncorrected energy, the calculation gives -5.855 eV/atom. Its uncorrected formation energy is -1.5711 eV/atom. The calculation puts the calculated volume at 255.1 Å³ per cell. The crystal system is tetragonal.

Q: Number 2 is which compound?
A: NaCeIO6

Q: Which value of uncorrected energy does entry 2 give?
A: -5.855 eV/atom

Q: Which value of theoretical density does entry 2 give?
A: 5.02 g/cm³